First-principles (PBE with a Hubbard U) data for LiNpCo2O8 after structural relaxation, as listed in Alexandria via LeMat-Bulk.

Cell lengths 5.768, 5.768, 5.768 Å; angles 108.41, 108.41, 111.62 degrees
Last column: magnetic moment on the atom in μB.
Atoms (fractional coordinates):
1 Np 0.000 0.000 0.000  0.26
2 O 0.315 0.494 0.179  0.16
3 O 0.506 0.685 0.821  0.16
4 O 0.315 0.135 0.821  0.16
5 O 0.775 0.067 0.708  0.16
6 O 0.865 0.685 0.179  0.16
7 O 0.358 0.067 0.292  0.16
8 O 0.933 0.642 0.708  0.16
9 O 0.933 0.225 0.292  0.16
10 Li 0.250 0.750 0.500  0.00
11 Co 0.500 0.500 0.000  1.33
12 Co 0.750 0.250 0.500  2.89

DOS(E_F): 1.38 states/eV per cell
DFT total energy: -6.732 eV/atom
V: 147.59 Å³/f.u.
Space group: I-4m2